DFT (GGA-PBE) results for a relaxed Ta2TlCr crystal.

Cell: 3.2935 4.8704 9.0773 Å, 90.00 90.00 90.00°
Atoms (fractional coordinates):
Ta1 0.0000 0.0000 0.0000
Ta2 0.0000 0.5000 0.2537
Ta3 0.5000 0.0000 0.2537
Ta4 0.5000 0.5000 0.0000
Tl1 0.0000 0.5000 0.7166
Tl2 0.5000 0.0000 0.7166
Cr1 0.0000 0.0000 0.4639
Cr2 0.5000 0.5000 0.4639

Results
space group: Cmm2
energy above the lowest structure with this stoichiometry: 0.107 eV per atom
energy of formation from the pure elements: 0.43 eV/atom

DFT (GGA-PBE) results for a relaxed Ta2TlCr crystal.

Cell: 3.0818 3.0818 7.6098 Å, 90.00 90.00 90.00°
Atoms (fractional coordinates):
Ta1 0.0000 0.0000 0.1955
Ta2 0.0000 0.0000 0.8045
Tl1 0.5000 0.5000 0.5000
Cr1 0.5000 0.5000 0.0000

Results
space group: P4/mmm
energy above the lowest structure with this stoichiometry: 0.000 eV per atom
energy of formation from the pure elements: 0.32 eV/atom

DFT (GGA-PBE) results for a relaxed Ta2TlCr crystal.

Cell: 5.7005 8.6560 2.9431 Å, 90.00 91.74 90.00°
Atoms (fractional coordinates):
Ta1 0.2500 0.2500 0.0000
Ta2 0.2500 0.7500 0.0000
Ta3 0.7500 0.2500 0.0000
Ta4 0.7500 0.7500 0.0000
Tl1 0.0000 0.0000 0.5000
Tl2 0.5000 0.5000 0.5000
Cr1 0.0000 0.5000 0.5000
Cr2 0.5000 0.0000 0.5000

Results
space group: C2/m
energy above the lowest structure with this stoichiometry: 0.218 eV per atom
energy of formation from the pure elements: 0.54 eV/atom

DFT (GGA-PBE) results for a relaxed TaTlCr crystal.

Cell: 3.3149 3.3149 9.6730 Å, 90.00 90.00 90.00°
Atoms (fractional coordinates):
Ta1 0.0000 0.0000 0.0000
Ta2 0.5000 0.5000 0.5000
Tl1 0.0000 0.0000 0.3014
Tl2 0.5000 0.5000 0.8014
Cr1 0.0000 0.0000 0.6180
Cr2 0.5000 0.5000 0.1180

Results
space group: I4mm
energy above the lowest structure with this stoichiometry: 0.000 eV per atom
energy of formation from the pure elements: 0.48 eV/atom